# TbErGaIr

Crystalline TbErGaIr at its relaxed geometry (GGA-PBE, Alexandria).

a b c (Å): 6.993 6.993 6.993
angles (deg): 90.00 90.00 90.00
Fractional coordinates of all 16 atoms:
Tb1 0.000 0.000 0.000
Tb2 0.000 0.500 0.500
Tb3 0.500 0.000 0.500
Tb4 0.500 0.500 0.000
Er1 0.000 0.000 0.500
Er2 0.000 0.500 0.000
Er3 0.500 0.000 0.000
Er4 0.500 0.500 0.500
Ga1 0.250 0.250 0.750
Ga2 0.250 0.750 0.250
Ga3 0.750 0.250 0.250
Ga4 0.750 0.750 0.750
Ir1 0.250 0.250 0.250
Ir2 0.250 0.750 0.750
Ir3 0.750 0.250 0.750
Ir4 0.750 0.750 0.250

Summary:
- distance to the lowest polymorph of the same formula (meV per atom) = 63
- calculated formation energy (eV per atom) = -0.69
- magnetic moment (μB per atom) = 0.000

***

# TbErGaIr

Crystalline TbErGaIr at its relaxed geometry (GGA-PBE, Alexandria).

a b c (Å): 4.261 3.952 10.660
angles (deg): 90.00 90.00 90.00
Fractional coordinates of all 8 atoms:
Tb1 0.000 0.000 0.000
Tb2 0.000 0.500 0.500
Er1 0.500 0.000 0.717
Er2 0.500 0.500 0.217
Ga1 0.500 0.000 0.425
Ga2 0.500 0.500 0.925
Ir1 0.000 0.000 0.281
Ir2 0.000 0.500 0.781

Summary:
- distance to the lowest polymorph of the same formula (meV per atom) = 0
- calculated formation energy (eV per atom) = -0.75
- magnetic moment (μB per atom) = 0.000

***

# ErTh2Ga3Ir4

Crystalline ErTh2Ga3Ir4 at its relaxed geometry (GGA-PBE, Alexandria).

a b c (Å): 4.214 4.214 11.295
angles (deg): 90.00 90.00 90.00
Fractional coordinates of all 10 atoms:
Er1 0.000 0.000 0.000
Th1 0.000 0.500 0.724
Th2 0.500 0.000 0.276
Ga1 0.000 0.500 0.381
Ga2 0.500 0.000 0.619
Ga3 0.500 0.500 0.000
Ir1 0.000 0.000 0.500
Ir2 0.000 0.500 0.160
Ir3 0.500 0.000 0.840
Ir4 0.500 0.500 0.500

Summary:
- calculated formation energy (eV per atom) = -0.77
- magnetic moment (μB per atom) = 0.000

***

What did the second record say?
# TbErGaIr

Crystalline TbErGaIr at its relaxed geometry (GGA-PBE, Alexandria).

a b c (Å): 4.261 3.952 10.660
angles (deg): 90.00 90.00 90.00
Fractional coordinates of all 8 atoms:
Tb1 0.000 0.000 0.000
Tb2 0.000 0.500 0.500
Er1 0.500 0.000 0.717
Er2 0.500 0.500 0.217
Ga1 0.500 0.000 0.425
Ga2 0.500 0.500 0.925
Ir1 0.000 0.000 0.281
Ir2 0.000 0.500 0.781

Summary:
- distance to the lowest polymorph of the same formula (meV per atom) = 0
- calculated formation energy (eV per atom) = -0.75
- magnetic moment (μB per atom) = 0.000

***

What did the second record say?
# TbErGaIr

Crystalline TbErGaIr at its relaxed geometry (GGA-PBE, Alexandria).

a b c (Å): 4.261 3.952 10.660
angles (deg): 90.00 90.00 90.00
Fractional coordinates of all 8 atoms:
Tb1 0.000 0.000 0.000
Tb2 0.000 0.500 0.500
Er1 0.500 0.000 0.717
Er2 0.500 0.500 0.217
Ga1 0.500 0.000 0.425
Ga2 0.500 0.500 0.925
Ir1 0.000 0.000 0.281
Ir2 0.000 0.500 0.781

Summary:
- distance to the lowest polymorph of the same formula (meV per atom) = 0
- calculated formation energy (eV per atom) = -0.75
- magnetic moment (μB per atom) = 0.000

***

- What is the calculated formation energy in the third record?
  -0.77 eV per atom

***

- Which value of magnetic moment does entry 3 give?
  0.000 μB per atom